<i>
Entry from the Alexandria database: a relaxed structure of BaB3Rh (PBEsol).

a b c (Å): 4.1855 4.1855 4.1855
angles (deg): 90.00 90.00 90.00
Atoms (fractional coordinates):
B 0.0000 0.5000 0.0000
B 0.0000 0.0000 0.5000
B 0.5000 0.0000 0.0000
Rh 0.0000 0.0000 0.0000
Ba 0.5000 0.5000 0.5000

Results
* density of states at the Fermi level: 1.21 states/eV/f.u.

<ii>
Entry from the Alexandria database: a relaxed structure of BaB3Rh (PBEsol).

a b c (Å): 4.4149 4.4149 4.4149
angles (deg): 90.00 90.00 90.00
Atoms (fractional coordinates):
B 0.0000 0.5000 0.0000
B 0.0000 0.0000 0.5000
B 0.5000 0.0000 0.0000
Rh 0.5000 0.5000 0.5000
Ba 0.0000 0.0000 0.0000

Results
* density of states at the Fermi level: 2.84 states/eV/f.u.

Relative energies with respect to the most stable structure, expressed in meV per atom: <i> 0; <ii> 2810.

<i>
Entry from the Alexandria database: a relaxed structure of Ba2CdSb (PBEsol).

a b c (Å): 4.5171 5.6286 5.6286
angles (deg): 90.00 90.00 90.00
Atoms (fractional coordinates):
Sb 0.5000 0.0000 0.0000
Ba 0.0000 0.0000 0.5000
Ba 0.0000 0.5000 0.0000
Cd 0.5000 0.5000 0.5000

Results
* density of states at the Fermi level: 1.51 states/eV/f.u.

<ii>
Entry from the Alexandria database: a relaxed structure of Ba2CdSb (PBEsol).

a b c (Å): 4.9099 4.8808 6.8234
angles (deg): 90.00 111.09 90.00
Atoms (fractional coordinates):
Sb 0.7000 0.5000 0.4001
Ba 0.9874 0.5000 0.9749
Ba 0.2632 0.0000 0.5263
Cd 0.5494 0.0000 0.0987

Results
* density of states at the Fermi level: 3.00 states/eV/f.u.

Relative energies with respect to the most stable structure, expressed in meV per atom: <i> 15; <ii> 0.

<i>
Entry from the Alexandria database: a relaxed structure of Ta5Mo3 (PBEsol).

a b c (Å): 3.1926 6.4170 7.2425
angles (deg): 116.30 90.00 90.00
Atoms (fractional coordinates):
Mo 0.0000 0.5059 0.5037
Mo 0.5000 0.8719 0.7438
Mo 0.0000 0.9978 0.5037
Ta 0.0000 0.2431 0.9960
Ta 0.5000 0.6285 0.2570
Ta 0.5000 0.3697 0.7394
Ta 0.0000 0.7529 0.9960
Ta 0.5000 0.1302 0.2603

Results
* density of states at the Fermi level: 7.03 states/eV/f.u.

<ii>
Entry from the Alexandria database: a relaxed structure of Ta5Mo3 (PBEsol).

a b c (Å): 5.5081 5.5081 5.6261
angles (deg): 109.43 109.43 108.68
Atoms (fractional coordinates):
Mo 0.0000 0.0000 0.0000
Mo 0.5000 0.5000 0.5000
Mo 0.0000 0.0000 0.5000
Ta 0.5000 0.5000 0.0000
Ta 0.0000 0.5000 0.0000
Ta 0.5000 0.0000 0.5000
Ta 0.0000 0.5000 0.5000
Ta 0.5000 0.0000 0.0000

Results
* density of states at the Fermi level: 8.46 states/eV/f.u.

Relative energies with respect to the most stable structure, expressed in meV per atom: <i> 0; <ii> 35.

<i>
Entry from the Alexandria database: a relaxed structure of BaMn2Ni (PBEsol).

a b c (Å): 4.6753 4.6753 4.6753
angles (deg): 60.00 60.00 60.00
Site moments in Bohr magnetons follow the coordinates.
Atoms (fractional coordinates):
Ba 0.0000 0.0000 0.0000  -0.04
Mn 0.7500 0.7500 0.7500  3.42
Mn 0.2500 0.2500 0.2500  3.42
Ni 0.5000 0.5000 0.5000  0.47

Results
* density of states at the Fermi level: 4.40 states/eV/f.u.

<ii>
Entry from the Alexandria database: a relaxed structure of BaMn2Ni (PBEsol).

a b c (Å): 4.0682 4.0682 6.2735
angles (deg): 71.08 71.08 60.00
Site moments in Bohr magnetons follow the coordinates.
Atoms (fractional coordinates):
Ba 0.2475 0.2475 0.2575  0.03
Mn 0.0635 0.0635 0.8095  2.94
Mn 0.7398 0.7398 0.7805  -2.88
Ni 0.4492 0.4492 0.6525  -0.12

Results
* density of states at the Fermi level: 4.39 states/eV/f.u.

<iii>
Entry from the Alexandria database: a relaxed structure of BaMn2Ni (PBEsol).

a b c (Å): 4.0041 4.0041 4.6080
angles (deg): 90.00 90.00 90.00
Site moments in Bohr magnetons follow the coordinates.
Atoms (fractional coordinates):
Ba 0.0000 0.0000 0.5000  -0.05
Mn 0.0000 0.5000 0.0000  3.50
Mn 0.5000 0.0000 0.0000  3.50
Ni 0.5000 0.5000 0.5000  0.24

Results
* density of states at the Fermi level: 3.58 states/eV/f.u.

Relative energies with respect to the most stable structure, expressed in meV per atom: <i> 656; <ii> 0; <iii> 583.